[1]
{"formula": "Nd2Zn17", "functional": "PBE", "state": "optimized geometry", "cell": [[9.0206, 0.0000, 0.0000], [-4.5103, 7.8121, 0.0000], [0.0000, 0.0000, 8.7863]], "species": ["Nd", "Nd", "Nd", "Nd", "Zn", "Zn", "Zn", "Zn", "Zn", "Zn", "Zn", "Zn", "Zn", "Zn", "Zn", "Zn", "Zn", "Zn", "Zn", "Zn", "Zn", "Zn", "Zn", "Zn", "Zn", "Zn", "Zn", "Zn", "Zn", "Zn", "Zn", "Zn", "Zn", "Zn", "Zn", "Zn", "Zn", "Zn"], "frac_coords": [[0.0000, 0.0000, 0.2500], [0.0000, 0.0000, 0.7500], [0.3333, 0.6667, 0.2500], [0.6667, 0.3333, 0.7500], [0.0000, 0.5000, 0.0000], [0.0000, 0.5000, 0.5000], [0.0409, 0.3704, 0.7500], [0.0409, 0.6705, 0.7500], [0.1620, 0.3240, 0.0200], [0.1620, 0.3240, 0.4800], [0.1620, 0.8380, 0.0200], [0.1620, 0.8380, 0.4800], [0.3240, 0.1620, 0.5200], [0.3240, 0.1620, 0.9800], [0.3295, 0.3704, 0.7500], [0.3295, 0.9591, 0.7500], [0.3333, 0.6667, 0.6026], [0.3333, 0.6667, 0.8974], [0.3704, 0.0409, 0.2500], [0.3704, 0.3295, 0.2500], [0.5000, 0.0000, 0.0000], [0.5000, 0.0000, 0.5000], [0.5000, 0.5000, 0.0000], [0.5000, 0.5000, 0.5000], [0.6296, 0.6705, 0.7500], [0.6296, 0.9591, 0.7500], [0.6667, 0.3333, 0.1026], [0.6667, 0.3333, 0.3974], [0.6705, 0.0409, 0.2500], [0.6705, 0.6296, 0.2500], [0.6760, 0.8380, 0.0200], [0.6760, 0.8380, 0.4800], [0.8380, 0.1620, 0.5200], [0.8380, 0.1620, 0.9800], [0.8380, 0.6760, 0.5200], [0.8380, 0.6760, 0.9800], [0.9591, 0.3295, 0.2500], [0.9591, 0.6296, 0.2500]]}

[2]
{"formula": "NdZn8", "functional": "PBE", "state": "optimized geometry", "cell": [[8.4544, 0.0000, 0.0000], [-4.2272, 7.3217, 0.0000], [0.0000, 0.0000, 3.1145]], "species": ["Nd", "Zn", "Zn", "Zn", "Zn", "Zn", "Zn", "Zn", "Zn"], "frac_coords": [[0.0000, 0.0000, 0.0000], [0.1740, 0.3480, 0.5000], [0.1740, 0.8260, 0.5000], [0.3333, 0.6667, 0.5000], [0.3480, 0.1740, 0.5000], [0.6520, 0.8260, 0.5000], [0.6667, 0.3333, 0.5000], [0.8260, 0.1740, 0.5000], [0.8260, 0.6520, 0.5000]]}

[3]
{"formula": "Nd2Zn", "functional": "PBE", "state": "optimized geometry", "cell": [[0.0000, 4.5077, 4.5077], [4.5077, 0.0000, 4.5077], [4.5077, 4.5077, 0.0000]], "species": ["Nd", "Nd", "Nd", "Nd", "Zn", "Zn"], "frac_coords": [[0.0000, 0.0000, 0.0000], [0.0000, 0.0000, 0.5000], [0.0000, 0.5000, 0.0000], [0.5000, 0.0000, 0.0000], [0.3750, 0.3750, 0.3750], [0.6250, 0.6250, 0.6250]]}

| no. | DFT formation energy (kcal/mol of atoms) |
| --- | --- |
| 1 | -6.0 |
| 2 | 7.8 |
| 3 | 10.6 |